(1)
16
Lattice="-5.010 -2.575 2.374 1.903 -4.444 7.068 -3.757 5.244 5.631" Properties=species:S:1:pos:R:3 comment="Li3Pb5 (meta-GGA SCAN, single point on PBEsol structure)" rho_g_cm3=9.0 formation_enthalpy_0k_ev_per_fu=-1.80 pbc="T T T"
Li -4.420 -3.261 10.746
Pb 0.430 -2.543 6.021
Li -3.862 1.359 9.065
Li -1.253 -0.644 0.593
Li -2.443 1.486 4.326
Pb -4.684 -1.531 8.130
Pb -2.150 -0.630 10.520
Pb -5.235 1.578 6.406
Pb -5.456 -0.548 11.504
Li -3.001 -3.135 6.007
Li -3.758 -1.931 1.780
Pb -1.408 -1.227 3.569
Pb -2.179 -0.244 6.943
Pb -1.629 -3.354 8.667
Pb -4.713 -1.145 4.553
Pb -7.294 0.768 9.052

(2)
4
Lattice="3.910 0.000 0.000 0.000 4.470 0.000 -1.955 -2.235 4.200" Properties=species:S:1:pos:R:3 comment="Li3Pb (meta-GGA SCAN, single point on PBEsol structure)" e_above_lowest_polymorph_mev_per_atom=22 rho_g_cm3=5.2 formation_enthalpy_0k_ev_per_fu=-1.71 pbc="T T T"
Pb 0.000 2.235 0.000
Li 0.000 0.000 2.064
Li 1.955 0.000 0.000
Li 1.955 2.235 2.136

(3)
8
Lattice="6.889 0.000 0.000 3.444 5.966 0.000 3.444 1.989 5.625" Properties=species:S:1:pos:R:3 comment="LiPb7 (meta-GGA SCAN, single point on PBEsol structure)" rho_g_cm3=10.5 formation_enthalpy_0k_ev_per_fu=-0.68 pbc="T T T"
Pb 1.722 2.983 0.000
Pb 1.722 0.994 2.812
Pb 3.444 3.977 2.812
Pb 5.167 0.994 2.812
Pb 6.889 3.977 2.812
Pb 3.444 0.000 0.000
Pb 5.167 2.983 0.000
Li 0.000 0.000 0.000

(4)
8
Lattice="4.813 0.000 0.000 0.000 5.630 -0.021 0.000 -0.494 5.609" Properties=species:S:1:pos:R:3 comment="Li3Pb (meta-GGA SCAN, single point on PBEsol structure)" e_above_lowest_polymorph_mev_per_atom=76 rho_g_cm3=5.0 formation_enthalpy_0k_ev_per_fu=-1.49 pbc="T T T"
Pb 1.203 1.238 4.017
Li 3.609 0.082 5.079
Li 1.203 5.054 0.508
Pb 3.609 3.898 1.571
Li 1.203 4.135 3.220
Li 3.609 1.001 2.367
Li 1.203 2.275 1.197
Li 3.609 2.861 4.391

(5)
4
Lattice="3.345 0.000 0.000 -1.115 5.235 0.000 -1.115 -2.618 4.534" Properties=species:S:1:pos:R:3 comment="Li3Pb (meta-GGA SCAN, single point on PBEsol structure)" e_above_lowest_polymorph_mev_per_atom=156 rho_g_cm3=4.8 formation_enthalpy_0k_ev_per_fu=-1.17 pbc="T T T"
Li -0.558 -1.309 2.267
Pb 1.673 0.000 0.000
Li 0.558 1.309 2.267
Li -0.558 2.618 0.000

(6)
16
Lattice="5.496 0.000 0.000 0.000 6.856 0.000 0.000 0.000 8.898" Properties=species:S:1:pos:R:3 comment="Li3Pb (meta-GGA SCAN, single point on PBEsol structure)" e_above_lowest_polymorph_mev_per_atom=118 rho_g_cm3=4.5 formation_enthalpy_0k_ev_per_fu=-1.33 pbc="T T T"
Li 2.236 5.589 0.308
Li 0.512 2.162 0.308
Li 3.508 3.280 2.225
Li 4.984 4.694 8.590
Li 0.760 0.147 6.674
Li 3.259 1.266 8.590
Pb 4.709 2.639 6.674
Li 3.259 1.266 4.757
Li 0.512 2.162 4.141
Li 1.988 3.575 6.674
Li 4.984 4.694 4.757
Pb 0.787 4.216 2.225
Li 2.236 5.589 4.141
Li 4.735 6.708 2.225
Pb 1.961 0.789 2.225
Pb 3.535 6.067 6.674

(7)
108
Lattice="13.981 0.000 0.000 6.990 12.108 0.000 6.990 4.036 11.415" Properties=species:S:1:pos:R:3 comment="Li22Pb5 (meta-GGA SCAN, single point on PBEsol structure)" rho_g_cm3=4.1 formation_enthalpy_0k_ev_per_fu=-9.82 pbc="T T T"
Pb 11.531 6.658 7.708
Li 23.184 10.830 7.658
Li 9.143 8.146 8.644
Li 2.348 3.941 0.045
Li 13.981 2.747 1.943
Li 11.626 9.431 0.744
Li 16.113 6.841 1.988
Li 20.971 12.108 8.562
Li 13.981 10.759 4.758
Li 11.626 3.846 8.644
Li 20.971 12.108 5.770
Li 16.336 9.431 0.744
Li 11.510 4.173 2.951
Pb 20.971 6.735 10.461
Li 4.939 5.221 3.691
Pb 20.971 14.945 10.568
Li 20.971 14.663 7.658
Li 18.592 5.410 9.473
Li 4.583 2.646 4.819
Li 13.981 8.072 3.105
Li 9.370 5.410 9.473
Li 11.864 1.222 0.864
Li 9.229 2.743 7.626
Pb 11.531 9.486 3.708
Li 4.583 5.426 0.888
Li 20.971 12.108 11.272
Li 9.369 7.882 2.951
Li 23.251 13.424 9.492
Pb 6.990 4.036 5.878
Pb 6.990 6.887 1.846
Li 11.856 9.299 6.575
Li 13.981 5.353 0.744
Li 6.990 4.036 0.341
Li 9.398 2.646 4.819
Li 16.307 9.415 9.269
Li 6.990 6.621 7.626
Li 11.654 11.877 5.787
Li 11.654 6.728 4.758
Li 16.308 6.728 4.758
Li 9.042 5.221 3.691
Li 11.498 12.224 8.644
Li 9.143 10.865 4.799
Li 18.818 8.146 8.644
Li 6.990 9.663 0.864
Li 13.981 13.398 6.447
Li 13.981 2.486 4.799
Li 11.849 6.841 1.988
Li 18.818 10.865 4.799
Pb 20.971 12.108 2.863
Li 13.981 8.072 5.708
Li 2.117 1.222 0.864
Li 6.990 4.036 8.822
Li 13.981 8.072 8.558
Li 18.593 7.882 2.951
Li 13.981 10.545 10.482
Li 16.464 12.224 8.644
Pb 23.428 10.689 10.568
Li 18.593 5.409 6.447
Pb 20.971 9.271 6.555
Pb 4.521 2.610 1.846
Li 16.122 6.836 10.482
Li 16.336 3.846 8.644
Li 13.981 5.386 9.269
Li 13.981 10.534 1.988
Pb 18.514 13.526 6.555
Li 4.752 2.743 7.626
Pb 16.431 6.658 7.708
Li 9.369 5.409 6.447
Li 0.000 0.000 0.000
Li 9.370 10.734 1.943
Li 9.398 5.426 0.888
Li 18.592 10.734 1.943
Pb 25.625 14.794 10.461
Li 16.452 4.173 2.951
Pb 23.428 13.526 6.555
Li 4.752 8.104 0.045
Li 16.113 4.155 5.787
Li 11.840 6.836 10.482
Li 2.348 1.356 3.700
Li 11.654 9.415 9.269
Li 6.990 4.036 2.854
Pb 9.459 2.610 1.846
Li 11.633 3.941 0.045
Pb 16.318 14.794 10.461
Li 9.522 8.184 5.787
Li 16.106 9.299 6.575
Pb 13.981 5.243 3.708
Li 11.849 4.155 5.787
Li 16.307 11.877 5.787
Li 6.990 1.667 3.691
Li 9.229 8.104 0.045
Li 20.971 9.476 9.492
Li 13.981 5.618 6.575
Li 9.394 0.063 0.045
Li 11.840 12.161 2.951
Li 6.990 1.257 0.888
Li 18.440 8.184 5.787
Li 6.990 9.397 3.700
Li 18.692 13.424 9.492
Pb 16.431 9.486 3.708
Li 18.758 10.830 7.658
Li 6.990 6.815 4.819
Li 13.981 13.397 9.473
Pb 13.981 10.901 7.708
Li 4.587 0.063 0.045
Pb 18.514 10.689 10.568
Li 11.633 1.356 3.700
Li 16.122 12.161 2.951

(8)
11
Lattice="4.698 0.000 0.000 2.349 4.068 0.000 2.349 1.356 10.590" Properties=species:S:1:pos:R:3 comment="Li8Pb3 (meta-GGA SCAN, single point on PBEsol structure)" rho_g_cm3=5.6 formation_enthalpy_0k_ev_per_fu=-5.01 pbc="T T T"
Li 7.047 4.068 5.667
Li 7.047 4.068 2.810
Li 4.698 2.712 0.916
Li 2.349 1.356 4.922
Li 2.349 1.356 7.780
Pb 0.000 0.000 0.000
Li 2.349 1.356 1.920
Li 4.698 2.712 9.674
Pb 4.698 2.712 3.780
Li 7.047 4.068 8.670
Pb 4.698 2.712 6.809

> Number 5 is which compound?

Li3Pb

> Number 1 is which compound?

Li3Pb5

> What is the formula in the first record?

Li3Pb5